This record from Alexandria via LeMat-Bulk describes a geometry-optimized TaCu2Br structure. The functional is GGA-PBE.

Structure (POSCAR):
```
TaCu2Br
1.0
2.934 0.000 0.000
0.000 2.982 0.000
0.000 0.000 8.003
Ta Cu Br
1 2 1
Direct
0.000 0.000 0.000
0.500 0.500 0.227
0.500 0.500 0.773
0.500 0.000 0.500
```

## Properties
Energy relative to the elements, uncorrected (eV per atom): 0.33
Magnetization (μB per formula unit): 0.00
DFT total energy (eV for the cell shown): -20.39
ΔE to the lowest computed polymorph (eV/f.u.): 0.32
Calculated density (g/cm3): 9.2

=====

This record from Alexandria via LeMat-Bulk describes a geometry-optimized TaCu2Br structure. The functional is GGA-PBE.

Structure (POSCAR):
```
TaCu2Br
1.0
8.721 0.000 0.000
0.000 3.015 0.000
-1.073 0.000 4.969
Ta Cu Br
2 4 2
Direct
0.000 0.000 0.000
0.500 0.500 0.000
0.252 0.500 0.298
0.491 0.000 0.453
0.752 0.000 0.298
0.991 0.500 0.453
0.253 0.000 0.787
0.753 0.500 0.787
```

## Properties
Energy relative to the elements, uncorrected (eV per atom): 0.44
Magnetization (μB per formula unit): 0.00
DFT total energy (eV for the cell shown): -39.94
ΔE to the lowest computed polymorph (eV/f.u.): 0.75
Calculated density (g/cm3): 9.9

=====

Question: magnetization of number 1 (TaCu2Br)?
Answer: 0.00 μB per formula unit

=====

What did the first record say?
This record from Alexandria via LeMat-Bulk describes a geometry-optimized TaCu2Br structure. The functional is GGA-PBE.

Structure (POSCAR):
```
TaCu2Br
1.0
2.934 0.000 0.000
0.000 2.982 0.000
0.000 0.000 8.003
Ta Cu Br
1 2 1
Direct
0.000 0.000 0.000
0.500 0.500 0.227
0.500 0.500 0.773
0.500 0.000 0.500
```

## Properties
Energy relative to the elements, uncorrected (eV per atom): 0.33
Magnetization (μB per formula unit): 0.00
DFT total energy (eV for the cell shown): -20.39
ΔE to the lowest computed polymorph (eV/f.u.): 0.32
Calculated density (g/cm3): 9.2